The following is a DFT calculation (PBE) of CrSb2N after structural relaxation.

```
data_CrSb2N
_chemical_formula_sum 'Cr4 Sb8 N4'
_cell_length_a 6.0645
_cell_length_b 6.0645
_cell_length_c 9.2049
_cell_angle_alpha 90.00
_cell_angle_beta 90.00
_cell_angle_gamma 90.00
_symmetry_space_group_name_H-M 'I -4 2 d'
_symmetry_Int_Tables_number 122
_symmetry_space_group_name_Hall 'I -4 2bw'
loop_
_atom_site_label
_atom_site_fract_x
_atom_site_fract_y
_atom_site_fract_z
Cr1 0.0000 0.0000 0.0000
Sb1 0.1944 0.2500 0.6250
N1 0.0000 0.0000 0.5000
```

Energy relative to the elements, uncorrected   2.77 eV/f.u.
Spin magnetization   3.038 μB/f.u.

***

The following is a DFT calculation (PBE) of CrSbN after structural relaxation.

```
data_CrSbN
_chemical_formula_sum 'Cr2 Sb2 N2'
_cell_length_a 3.4043
_cell_length_b 3.7303
_cell_length_c 9.6698
_cell_angle_alpha 90.00
_cell_angle_beta 90.00
_cell_angle_gamma 90.00
_symmetry_space_group_name_H-M 'P m m n'
_symmetry_Int_Tables_number 59
loop_
_symmetry_equiv_pos_as_xyz
'x,y,z'
'-x,-y,-z'
'-x+1/2,-y+1/2,z'
'x+1/2,y+1/2,-z'
'x+1/2,-y,-z'
'-x+1/2,y,z'
'-x,y+1/2,-z'
'x,-y+1/2,z'
loop_
_atom_site_label
_atom_site_fract_x
_atom_site_fract_y
_atom_site_fract_z
Cr1 0.2500 0.2500 0.0250
Sb1 0.2500 0.2500 0.5869
N1 0.2500 0.7500 0.0693
```

Energy relative to the elements, uncorrected   -0.02 eV/f.u.
Spin magnetization   1.628 μB/f.u.

***

The following is a DFT calculation (PBE) of CrSbN2 after structural relaxation.

```
data_CrSbN2
_chemical_formula_sum 'Cr3 Sb3 N6'
_cell_length_a 3.2051
_cell_length_b 3.2051
_cell_length_c 18.3126
_cell_angle_alpha 90.00
_cell_angle_beta 90.00
_cell_angle_gamma 120.00
_symmetry_space_group_name_H-M 'R -3 m'
_symmetry_Int_Tables_number 166
_symmetry_space_group_name_Hall '-R 3 2"'
loop_
_atom_site_label
_atom_site_fract_x
_atom_site_fract_y
_atom_site_fract_z
Cr1 0.0000 0.0000 0.0000
Sb1 0.0000 0.0000 0.5000
N1 0.0000 0.0000 0.1016
```

Energy relative to the elements, uncorrected   2.97 eV/f.u.
Spin magnetization   0.000 μB/f.u.

***

The following is a DFT calculation (PBE) of CrSb3N after structural relaxation.

```
data_CrSb3N
_chemical_formula_sum 'Cr1 Sb3 N1'
_cell_length_a 4.6174
_cell_length_b 4.6174
_cell_length_c 4.6174
_cell_angle_alpha 90.00
_cell_angle_beta 90.00
_cell_angle_gamma 90.00
_symmetry_space_group_name_H-M 'P m -3 m'
_symmetry_Int_Tables_number 221
_symmetry_space_group_name_Hall '-P 4 2 3'
loop_
_atom_site_label
_atom_site_fract_x
_atom_site_fract_y
_atom_site_fract_z
Cr1 0.0000 0.0000 0.0000
Sb1 0.0000 0.5000 0.5000
N1 0.5000 0.5000 0.5000
```

Energy relative to the elements, uncorrected   5.07 eV/f.u.
Spin magnetization   0.310 μB/f.u.

***

The following is a DFT calculation (PBE) of CrSbN2 after structural relaxation.

```
data_CrSbN2
_chemical_formula_sum 'Cr4 Sb4 N8'
_cell_length_a 5.1337
_cell_length_b 5.1337
_cell_length_c 8.7096
_cell_angle_alpha 90.00
_cell_angle_beta 90.00
_cell_angle_gamma 90.00
_symmetry_space_group_name_H-M 'I -4 2 d'
_symmetry_Int_Tables_number 122
_symmetry_space_group_name_Hall 'I -4 2bw'
loop_
_atom_site_label
_atom_site_fract_x
_atom_site_fract_y
_atom_site_fract_z
Cr1 0.0000 0.0000 0.0000
Sb1 0.0000 0.0000 0.5000
N1 0.1414 0.2500 0.1250
```

Energy relative to the elements, uncorrected   0.97 eV/f.u.
Spin magnetization   1.158 μB/f.u.

***

The following is a DFT calculation (PBE) of CrSbSeN2 after structural relaxation.

```
data_CrSbSeN2
_chemical_formula_sum 'Cr1 Sb1 Se1 N2'
_cell_length_a 3.9618
_cell_length_b 3.9618
_cell_length_c 5.7730
_cell_angle_alpha 90.00
_cell_angle_beta 90.00
_cell_angle_gamma 90.00
_symmetry_space_group_name_H-M 'P 4/m m m'
_symmetry_Int_Tables_number 123
_symmetry_space_group_name_Hall '-P 4 2'
loop_
_atom_site_label
_atom_site_fract_x
_atom_site_fract_y
_atom_site_fract_z
Cr1 0.0000 0.0000 0.0000
Sb1 0.5000 0.5000 0.5000
Se1 0.5000 0.5000 0.0000
N1 0.0000 0.5000 0.5000
```

Energy relative to the elements, uncorrected   6.00 eV/f.u.
Spin magnetization   3.560 μB/f.u.